1.
WCl: relaxed, PBE-GGA.

Values from the calculation:
Relative energy among the computed polymorphs (meV per atom): 906
Theoretical density (g cm⁻³): 11.2
Total energy (eV per atom): -6.737
Raw formation energy (eV per atom): 0.663

Structure (CIF):
```
data_WCl
_symmetry_space_group_name_H-M 'P 63 m c'
_symmetry_Int_Tables_number 186
_symmetry_space_group_name_Hall 'P 6c -2c'
_cell_length_a 2.9607
_cell_length_b 2.9607
_cell_length_c 8.5748
_cell_angle_alpha 90.00
_cell_angle_beta 90.00
_cell_angle_gamma 120.00
loop_
_atom_site_label
_atom_site_type_symbol
_atom_site_fract_x
_atom_site_fract_y
_atom_site_fract_z
W1 W 0.3333 0.6667 0.0000
Cl1 Cl 0.3333 0.6667 0.7184
```

=====

2.
NdAlCuAg: relaxed, PBE-GGA.

Values from the calculation:
Theoretical density (g cm⁻³): 7.1
Total energy (eV per atom): -4.118
ΔE_f (eV per atom): -0.253

Structure (CIF):
```
data_NdAlCuAg
_symmetry_space_group_name_H-M 'F -4 3 m'
_symmetry_Int_Tables_number 216
_symmetry_space_group_name_Hall 'F -4 2 3'
_cell_length_a 6.8292
_cell_length_b 6.8292
_cell_length_c 6.8292
_cell_angle_alpha 90.00
_cell_angle_beta 90.00
_cell_angle_gamma 90.00
loop_
_atom_site_label
_atom_site_type_symbol
_atom_site_fract_x
_atom_site_fract_y
_atom_site_fract_z
Nd1 Nd 0.0000 0.0000 0.0000
Al1 Al 0.0000 0.0000 0.5000
Cu1 Cu 0.2500 0.2500 0.2500
Ag1 Ag 0.2500 0.2500 0.7500
```

=====

3.
Be3PdPt: relaxed, PBE-GGA.

Values from the calculation:
Relative energy among the computed polymorphs (meV per atom): 239
Theoretical density (g cm⁻³): 7.9
Total energy (eV per atom): -4.092
ΔE_f (eV per atom): 0.390

Structure (CIF):
```
data_Be3PdPt
_symmetry_space_group_name_H-M 'P m -3 m'
_symmetry_Int_Tables_number 221
_symmetry_space_group_name_Hall '-P 4 2 3'
_cell_length_a 4.1013
_cell_length_b 4.1013
_cell_length_c 4.1013
_cell_angle_alpha 90.00
_cell_angle_beta 90.00
_cell_angle_gamma 90.00
loop_
_atom_site_label
_atom_site_type_symbol
_atom_site_fract_x
_atom_site_fract_y
_atom_site_fract_z
Be1 Be 0.0000 0.0000 0.5000
Pd1 Pd 0.0000 0.0000 0.0000
Pt1 Pt 0.5000 0.5000 0.5000
```